No. 1
Material: SrLuIn2
Method: DFT, PBE
State: optimized geometry

abc: 7.0478 7.0478 7.4070
angles: 90.00 90.00 138.43
With the nearest neighbours (Å) after each atom.
Sites, in units of the cell vectors:
Sr1 0.0684 0.9316 0.7500  8 In 3.43-3.77, 3 Lu 3.76-3.78
Sr2 0.9316 0.0684 0.2500  8 In 3.43-3.77, 3 Lu 3.76-3.78
Lu1 0.2182 0.7818 0.2500  6 In 3.15-3.19
Lu2 0.7818 0.2182 0.7500  6 In 3.15-3.19
In1 0.3843 0.6157 0.5554  2 In 2.88-3.16, 3 Lu 3.15-3.19
In2 0.3843 0.6157 0.9446  2 In 2.88-3.16, 3 Lu 3.15-3.19
In3 0.6157 0.3843 0.0554  2 In 2.88-3.16, 3 Lu 3.15-3.19
In4 0.6157 0.3843 0.4446  2 In 2.88-3.16, 3 Lu 3.15-3.19



No. 2
Material: LuTaIn
Method: DFT, PBE
State: optimized geometry

Calculated values
Excess energy over the best structure of this formula in the dataset in meV per atom: 0

abc: 4.8572 4.8572 4.8572
angles: 60.00 60.00 60.00
With the nearest neighbours (Å) after each atom.
Sites, in units of the cell vectors:
Lu1 0.0000 0.0000 0.0000  4 Ta 2.97
Ta1 0.7500 0.7500 0.7500  4 In 2.97, 4 Lu 2.97
In1 0.5000 0.5000 0.5000  4 Ta 2.97



Table of raw total energy (eV per atom), in record order: -3.239 -5.552